The following is a DFT calculation (PBE-GGA) of a relaxed Be2Nb2Bi crystal.

Summary:
- Space group: No. 127
- Uncorrected energy: -5.851 eV/atom

Unit cell a=7.410 b=7.410 c=3.093 alpha=90.00 beta=90.00 gamma=90.00
Sites, in units of the cell vectors:
Be 0.168 0.332 0.000
Be 0.332 0.832 0.000
Be 0.668 0.168 0.000
Be 0.832 0.668 0.000
Nb 0.128 0.628 0.500
Nb 0.372 0.128 0.500
Nb 0.628 0.872 0.500
Nb 0.872 0.372 0.500
Bi 0.000 0.000 0.500
Bi 0.500 0.500 0.500